The following is a GGA-PBE calculation of LaCuSb2 after structural relaxation, from Alexandria.

## Properties
energy	-4.6924	eV/atom
crystal system	monoclinic
energy relative to the elements, uncorrected	-0.3753	eV/atom
V	113	Å³ per cell
density of states at the Fermi level	2.36	states/eV/cell

```
LaCuSb2
1.0
4.3720 0.0000 0.0000
0.0000 4.4365 0.0195
0.0000 1.3132 5.8087
Sb La Cu
2 1 1
direct
0.0000 0.1464 0.9607
0.5000 0.3614 0.2862
0.5000 0.7078 0.7351
0.0000 0.2844 0.5179
```